# 1
# ZrMo2Au | Alexandria via LeMat-Bulk | PBE | optimized geometry
# - Theoretical density: 10.4 g/cm³
# - Energy of formation: 0.4369 eV/atom
data_ZrMo2Au
_chemical_formula_sum 'Zr2 Mo4 Au2'
_cell_length_a 3.889
_cell_length_b 3.889
_cell_length_c 10.499
_cell_angle_alpha 79.33
_cell_angle_beta 79.33
_cell_angle_gamma 90.00
_space_group_name_H-M_alt 'P 1'
_space_group_IT_number 1
loop_
_space_group_symop_operation_xyz
'x,y,z'
loop_
_atom_site_label
_atom_site_type_symbol
_atom_site_fract_x
_atom_site_fract_y
_atom_site_fract_z
Mo1 Mo 0.875 0.857 0.750
Zr1 Zr 0.250 0.750 0.500
Mo2 Mo 0.143 0.625 0.250
Au1 Au 0.000 0.000 0.000
Zr2 Zr 0.500 0.500 0.000
Au2 Au 0.750 0.250 0.500
Mo3 Mo 0.607 0.125 0.250
Mo4 Mo 0.375 0.393 0.750

# 2
# ZrMo2Au | Alexandria via LeMat-Bulk | PBE | optimized geometry
# - Theoretical density: 11.3 g/cm³
# - Energy of formation: 0.0248 eV/atom
data_ZrMo2Au
_chemical_formula_sum 'Zr1 Mo2 Au1'
_cell_length_a 4.470
_cell_length_b 3.973
_cell_length_c 3.973
_cell_angle_alpha 90.00
_cell_angle_beta 90.00
_cell_angle_gamma 90.00
_space_group_name_H-M_alt 'P 1'
_space_group_IT_number 1
loop_
_space_group_symop_operation_xyz
'x,y,z'
loop_
_atom_site_label
_atom_site_type_symbol
_atom_site_fract_x
_atom_site_fract_y
_atom_site_fract_z
Mo1 Mo 0.000 0.500 0.500
Mo2 Mo 0.000 0.000 0.000
Zr1 Zr 0.500 0.500 0.000
Au1 Au 0.500 0.000 0.500

# 3
# ZrMo2Au | Alexandria via LeMat-Bulk | PBE | optimized geometry
# - Theoretical density: 11.2 g/cm³
# - Energy of formation: 0.2849 eV/atom
data_ZrMo2Au
_chemical_formula_sum 'Zr1 Mo2 Au1'
_cell_length_a 10.196
_cell_length_b 10.196
_cell_length_c 10.196
_cell_angle_alpha 16.12
_cell_angle_beta 16.12
_cell_angle_gamma 16.12
_space_group_name_H-M_alt 'P 1'
_space_group_IT_number 1
loop_
_space_group_symop_operation_xyz
'x,y,z'
loop_
_atom_site_label
_atom_site_type_symbol
_atom_site_fract_x
_atom_site_fract_y
_atom_site_fract_z
Mo1 Mo 0.254 0.254 0.254
Zr1 Zr 0.499 0.499 0.499
Au1 Au 0.747 0.747 0.747
Mo2 Mo 0.000 0.000 0.000

# 4
# ZrMo2Au | Alexandria via LeMat-Bulk | PBE | optimized geometry
# - Theoretical density: 11.3 g/cm³
# - Energy of formation: 0.2037 eV/atom
data_ZrMo2Au
_chemical_formula_sum 'Zr1 Mo2 Au1'
_cell_length_a 2.789
_cell_length_b 2.789
_cell_length_c 9.276
_cell_angle_alpha 90.00
_cell_angle_beta 90.00
_cell_angle_gamma 101.45
_space_group_name_H-M_alt 'P 1'
_space_group_IT_number 1
loop_
_space_group_symop_operation_xyz
'x,y,z'
loop_
_atom_site_label
_atom_site_type_symbol
_atom_site_fract_x
_atom_site_fract_y
_atom_site_fract_z
Zr1 Zr 0.500 0.500 0.250
Au1 Au 0.500 0.500 0.750
Mo1 Mo 0.000 0.000 0.509
Mo2 Mo 0.000 0.000 0.991

# 5
# ZrMo2Au | Alexandria via LeMat-Bulk | PBE | optimized geometry
# - Theoretical density: 11.1 g/cm³
# - Energy of formation: 0.1316 eV/atom
data_ZrMo2Au
_chemical_formula_sum 'Zr1 Mo2 Au1'
_cell_length_a 4.934
_cell_length_b 2.809
_cell_length_c 5.209
_cell_angle_alpha 83.96
_cell_angle_beta 90.00
_cell_angle_gamma 90.00
_space_group_name_H-M_alt 'P 1'
_space_group_IT_number 1
loop_
_space_group_symop_operation_xyz
'x,y,z'
loop_
_atom_site_label
_atom_site_type_symbol
_atom_site_fract_x
_atom_site_fract_y
_atom_site_fract_z
Mo1 Mo 0.000 0.557 0.480
Mo2 Mo 0.000 0.943 0.020
Au1 Au 0.500 0.750 0.750
Zr1 Zr 0.500 0.250 0.250

# 6
# ZrMo2Au | Alexandria via LeMat-Bulk | PBE | optimized geometry
# - Theoretical density: 11.1 g/cm³
# - Energy of formation: -0.0697 eV/atom
data_ZrMo2Au
_chemical_formula_sum 'Zr1 Mo2 Au1'
_cell_length_a 3.283
_cell_length_b 3.283
_cell_length_c 6.647
_cell_angle_alpha 90.00
_cell_angle_beta 90.00
_cell_angle_gamma 90.00
_space_group_name_H-M_alt 'P 1'
_space_group_IT_number 1
loop_
_space_group_symop_operation_xyz
'x,y,z'
loop_
_atom_site_label
_atom_site_type_symbol
_atom_site_fract_x
_atom_site_fract_y
_atom_site_fract_z
Zr1 Zr 0.000 0.000 0.487
Mo1 Mo 0.000 0.000 0.025
Mo2 Mo 0.500 0.500 0.229
Au1 Au 0.500 0.500 0.758

# 7
# ZrMo2Au | Alexandria via LeMat-Bulk | PBE | optimized geometry
# - Theoretical density: 11.2 g/cm³
# - Energy of formation: 0.1545 eV/atom
data_ZrMo2Au
_chemical_formula_sum 'Zr1 Mo2 Au1'
_cell_length_a 5.207
_cell_length_b 5.207
_cell_length_c 5.207
_cell_angle_alpha 134.37
_cell_angle_beta 134.37
_cell_angle_gamma 66.51
_space_group_name_H-M_alt 'P 1'
_space_group_IT_number 1
loop_
_space_group_symop_operation_xyz
'x,y,z'
loop_
_atom_site_label
_atom_site_type_symbol
_atom_site_fract_x
_atom_site_fract_y
_atom_site_fract_z
Mo1 Mo 0.000 0.000 0.000
Mo2 Mo 0.500 0.500 0.000
Zr1 Zr 0.250 0.750 0.500
Au1 Au 0.750 0.250 0.500

# 8
# ZrMoAu | Alexandria via LeMat-Bulk | PBE | optimized geometry
# - Theoretical density: 11.4 g/cm³
# - Energy of formation: 0.0489 eV/atom
data_ZrMoAu
_chemical_formula_sum 'Zr1 Mo1 Au1'
_cell_length_a 5.206
_cell_length_b 5.206
_cell_length_c 5.206
_cell_angle_alpha 140.75
_cell_angle_beta 140.77
_cell_angle_gamma 56.71
_space_group_name_H-M_alt 'P 1'
_space_group_IT_number 1
loop_
_space_group_symop_operation_xyz
'x,y,z'
loop_
_atom_site_label
_atom_site_type_symbol
_atom_site_fract_x
_atom_site_fract_y
_atom_site_fract_z
Mo1 Mo 0.337 0.337 0.000
Au1 Au 0.993 0.993 0.000
Zr1 Zr 0.670 0.670 0.000

# 9
# ZrMo2Au | Alexandria via LeMat-Bulk | PBE | optimized geometry
# - Theoretical density: 11.3 g/cm³
# - Energy of formation: 0.3556 eV/atom
data_ZrMo2Au
_chemical_formula_sum 'Zr1 Mo2 Au1'
_cell_length_a 4.638
_cell_length_b 4.638
_cell_length_c 4.638
_cell_angle_alpha 60.00
_cell_angle_beta 60.00
_cell_angle_gamma 60.00
_space_group_name_H-M_alt 'P 1'
_space_group_IT_number 1
loop_
_space_group_symop_operation_xyz
'x,y,z'
loop_
_atom_site_label
_atom_site_type_symbol
_atom_site_fract_x
_atom_site_fract_y
_atom_site_fract_z
Zr1 Zr 0.000 0.000 0.000
Mo1 Mo 0.750 0.750 0.750
Au1 Au 0.500 0.500 0.500
Mo2 Mo 0.250 0.250 0.250

# 10
# ZrMoAu4 | Alexandria via LeMat-Bulk | PBE | optimized geometry
# - Theoretical density: 14.1 g/cm³
# - Energy of formation: 0.2336 eV/atom
data_ZrMoAu4
_chemical_formula_sum 'Zr1 Mo1 Au4'
_cell_length_a 5.452
_cell_length_b 5.452
_cell_length_c 5.452
_cell_angle_alpha 60.00
_cell_angle_beta 60.00
_cell_angle_gamma 60.00
_space_group_name_H-M_alt 'P 1'
_space_group_IT_number 1
loop_
_space_group_symop_operation_xyz
'x,y,z'
loop_
_atom_site_label
_atom_site_type_symbol
_atom_site_fract_x
_atom_site_fract_y
_atom_site_fract_z
Mo1 Mo 0.750 0.750 0.750
Au1 Au 0.375 0.875 0.375
Zr1 Zr 0.000 0.000 0.000
Au2 Au 0.375 0.375 0.875
Au3 Au 0.875 0.375 0.375
Au4 Au 0.375 0.375 0.375

# 11
# ZrMo3Au | Alexandria via LeMat-Bulk | PBE | optimized geometry
# - Theoretical density: 8.8 g/cm³
# - Energy of formation: 2.0022 eV/atom
data_ZrMo3Au
_chemical_formula_sum 'Zr1 Mo3 Au1'
_cell_length_a 4.768
_cell_length_b 4.768
_cell_length_c 4.768
_cell_angle_alpha 90.00
_cell_angle_beta 90.00
_cell_angle_gamma 90.00
_space_group_name_H-M_alt 'P 1'
_space_group_IT_number 1
loop_
_space_group_symop_operation_xyz
'x,y,z'
loop_
_atom_site_label
_atom_site_type_symbol
_atom_site_fract_x
_atom_site_fract_y
_atom_site_fract_z
Mo1 Mo 0.000 0.500 0.000
Mo2 Mo 0.000 0.000 0.500
Au1 Au 0.500 0.500 0.500
Zr1 Zr 0.000 0.000 0.000
Mo3 Mo 0.500 0.000 0.000

# 12
# ZrMo2Au | Alexandria via LeMat-Bulk | PBE | optimized geometry
# - Theoretical density: 11.2 g/cm³
# - Energy of formation: 0.0252 eV/atom
data_ZrMo2Au
_chemical_formula_sum 'Zr1 Mo2 Au1'
_cell_length_a 5.185
_cell_length_b 5.185
_cell_length_c 5.185
_cell_angle_alpha 138.86
_cell_angle_beta 127.70
_cell_angle_gamma 68.62
_space_group_name_H-M_alt 'P 1'
_space_group_IT_number 1
loop_
_space_group_symop_operation_xyz
'x,y,z'
loop_
_atom_site_label
_atom_site_type_symbol
_atom_site_fract_x
_atom_site_fract_y
_atom_site_fract_z
Mo1 Mo 0.236 0.736 0.500
Mo2 Mo 0.024 0.024 0.000
Au1 Au 0.755 0.255 0.500
Zr1 Zr 0.486 0.486 0.000

# 13
# Zr4MoAu | Alexandria via LeMat-Bulk | PBE | optimized geometry
# - Theoretical density: 8.7 g/cm³
# - Energy of formation: 0.4761 eV/atom
data_Zr4MoAu
_chemical_formula_sum 'Zr4 Mo1 Au1'
_cell_length_a 5.613
_cell_length_b 5.613
_cell_length_c 5.613
_cell_angle_alpha 60.00
_cell_angle_beta 60.00
_cell_angle_gamma 60.00
_space_group_name_H-M_alt 'P 1'
_space_group_IT_number 1
loop_
_space_group_symop_operation_xyz
'x,y,z'
loop_
_atom_site_label
_atom_site_type_symbol
_atom_site_fract_x
_atom_site_fract_y
_atom_site_fract_z
Zr1 Zr 0.374 0.374 0.879
Mo1 Mo 0.000 0.000 0.000
Au1 Au 0.750 0.750 0.750
Zr2 Zr 0.879 0.374 0.374
Zr3 Zr 0.374 0.374 0.374
Zr4 Zr 0.374 0.879 0.374

# 14
# ZrMoAu | Alexandria via LeMat-Bulk | PBE | optimized geometry
# - Theoretical density: 9.8 g/cm³
# - Energy of formation: 0.5632 eV/atom
data_ZrMoAu
_chemical_formula_sum 'Zr1 Mo1 Au1'
_cell_length_a 4.518
_cell_length_b 4.518
_cell_length_c 4.518
_cell_angle_alpha 60.00
_cell_angle_beta 60.00
_cell_angle_gamma 60.00
_space_group_name_H-M_alt 'P 1'
_space_group_IT_number 1
loop_
_space_group_symop_operation_xyz
'x,y,z'
loop_
_atom_site_label
_atom_site_type_symbol
_atom_site_fract_x
_atom_site_fract_y
_atom_site_fract_z
Zr1 Zr 0.500 0.500 0.500
Au1 Au 0.750 0.750 0.750
Mo1 Mo 0.000 0.000 0.000